(1)
Compound: Ba3CdIr
Source: the Alexandria database
Functional: PBE
Structure: relaxed

The magnetic moment comes out at 0.00 μB per atom. For the formation energy, the calculation gives -0.1833 eV per atom. The value obtained for the energy relative to the lowest polymorph listed for this composition is 0.0 meV per atom.

The structure belongs to space group P2_1/m (No. 11); the cell edges are 9.594, 4.751 and 9.662 Å and the angles 90.00°, 113.75° and 90.00°. The inequivalent atoms are Ba at (0.062, 0.250, 0.228), Ba at (0.306, 0.250, 0.903), Ba at (0.335, 0.750, 0.575), Cd at (0.343, 0.750, 0.189) and Ir at (0.029, 0.250, 0.539).

(2)
Compound: Cs2AgCl
Source: the Alexandria database
Functional: PBE
Structure: relaxed

The magnetic moment comes out at 0.00 μB per atom. The value obtained for the energy relative to the lowest polymorph listed for this composition is 0.0 meV per atom. The value obtained for the uncorrected formation energy is -22.04 kcal/mol of atoms.

The structure belongs to space group Cmcm (No. 63); the cell edges are 5.120, 28.556 and 5.048 Å and the angles 90.00°, 90.00° and 90.00°. The inequivalent atoms are Cs at (0.000, 0.069, 0.250), Cs at (0.000, 0.313, 0.250), Ag at (0.000, 0.474, 0.250) and Cl at (0.000, 0.191, 0.250).

Copy entry 2 word for word.
Compound: Cs2AgCl
Source: the Alexandria database
Functional: PBE
Structure: relaxed

The magnetic moment comes out at 0.00 μB per atom. The value obtained for the energy relative to the lowest polymorph listed for this composition is 0.0 meV per atom. The value obtained for the uncorrected formation energy is -22.04 kcal/mol of atoms.

The structure belongs to space group Cmcm (No. 63); the cell edges are 5.120, 28.556 and 5.048 Å and the angles 90.00°, 90.00° and 90.00°. The inequivalent atoms are Cs at (0.000, 0.069, 0.250), Cs at (0.000, 0.313, 0.250), Ag at (0.000, 0.474, 0.250) and Cl at (0.000, 0.191, 0.250).

- Number 1 is which compound?
  Ba3CdIr